MgCr3Au: relaxed, GGA-PBEsol.

## Properties
spin magnetization	2.5944	μB/atom
excess energy over the best structure of this formula in the dataset	0.000	eV/atom
energy relative to the elements	6.9	eV per formula unit

a b c (Å): 4.9425 4.9425 4.9425
angles (deg): 90.00 90.00 90.00
Space group Pm-3m (No. 221)
Inequivalent atoms, fractional coordinates:
Mg 0.0000 0.0000 0.0000 [1 per cell]
Cr 0.0000 0.5000 0.5000 [3 per cell]
Au 0.5000 0.5000 0.5000 [1 per cell]